{"formula": "KAlTlCo2", "functional": "PBE", "state": "relaxed", "cell": [[5.112, 0.000, 0.000], [0.000, 5.112, 0.000], [0.000, 0.000, 5.202]], "species": ["K", "Al", "Tl", "Co", "Co"], "frac_coords": [[0.000, 0.000, 0.000], [0.500, 0.500, 0.000], [0.500, 0.500, 0.500], [0.000, 0.500, 0.500], [0.500, 0.000, 0.500]], "crystal_system": "tetragonal", "ef_ev_per_atom": 1.17}

{"formula": "Zr2HgPd2", "functional": "PBE", "state": "relaxed", "cell": [[-2.355, 2.355, 5.012], [2.355, -2.355, 5.012], [2.355, 2.355, -5.012]], "species": ["Zr", "Zr", "Hg", "Pd", "Pd"], "frac_coords": [[0.250, 0.750, 0.500], [0.750, 0.250, 0.500], [0.000, 0.000, 0.000], [0.375, 0.375, 0.000], [0.625, 0.625, 0.000]], "crystal_system": "tetragonal", "ef_ev_per_atom": -0.24}

{"formula": "Ag2SnBiSe4", "functional": "PBE", "state": "relaxed", "cell": [[9.412, 0.000, 0.000], [0.000, 7.154, 0.000], [0.000, 0.000, 7.401]], "species": ["Ag", "Ag", "Ag", "Ag", "Sn", "Sn", "Bi", "Bi", "Se", "Se", "Se", "Se", "Se", "Se", "Se", "Se"], "frac_coords": [[0.247, 0.181, 0.000], [0.253, 0.819, 0.500], [0.747, 0.819, 0.500], [0.753, 0.181, 0.000], [0.000, 0.320, 0.501], [0.500, 0.680, 0.001], [0.000, 0.684, 0.999], [0.500, 0.316, 0.499], [0.000, 0.321, 0.129], [0.000, 0.676, 0.603], [0.239, 0.169, 0.639], [0.261, 0.831, 0.139], [0.500, 0.324, 0.103], [0.500, 0.679, 0.629], [0.739, 0.831, 0.139], [0.761, 0.169, 0.639]], "raw_formation_energy_kj_per_mol_atoms": -19.8, "de_polymorph_kj_per_mol_fu": 14.9, "crystal_system": "orthorhombic"}

{"formula": "Rb5AgI4", "functional": "PBE", "state": "relaxed", "cell": [[-2.640, 2.640, 18.682], [2.640, -2.640, 18.682], [2.640, 2.640, -18.682]], "species": ["Rb", "Rb", "Rb", "Rb", "Rb", "Ag", "I", "I", "I", "I"], "frac_coords": [[0.000, 0.000, 0.000], [0.200, 0.200, 0.000], [0.400, 0.400, 0.000], [0.600, 0.600, 0.000], [0.800, 0.800, 0.000], [0.500, 0.500, 0.000], [0.100, 0.100, 0.000], [0.300, 0.300, 0.000], [0.700, 0.700, 0.000], [0.900, 0.900, 0.000]], "raw_formation_energy_kj_per_mol_atoms": -112.7, "crystal_system": "tetragonal"}

What are the total magnetization values for these records? In order: 3.4 0.0 0.0 0.0 Bohr magnetons per cell.